This record from Alexandria describes a relaxed structure of Na4HfSc3S8. The functional is PBE.

Unit cell a=7.4814 b=7.9444 c=7.4815 alpha=118.11 beta=120.00 gamma=90.00
Closest atoms and distances in Å follow each position.
Element x y z (fractional)
Na  0.5000  0.0000  0.0000  6 S 2.88
Na  0.5000  0.0000  0.5000  6 S 2.85-2.86
Na  0.0000  0.0000  0.0000  6 S 2.85-2.86
Na  0.0000  0.0000  0.5000  6 S 2.85-2.86
Hf  0.0000  0.5000  0.0000  6 S 2.58
Sc  0.5000  0.5000  0.0000  6 S 2.60-2.62
Sc  0.5000  0.5000  0.5000  6 S 2.60-2.62
Sc  0.0000  0.5000  0.5000  6 S 2.60-2.62
S  0.2374  0.7183  0.9811  1 Hf 2.58, 2 Sc 2.62, 3 Na 2.85-2.88
S  0.2375  0.7184  0.4749  1 Hf 2.58, 2 Sc 2.62, 3 Na 2.85-2.88
S  0.2607  0.2822  0.5213  3 Sc 2.60, 3 Na 2.86
S  0.7437  0.7183  0.9811  1 Hf 2.58, 2 Sc 2.62, 3 Na 2.85-2.88
S  0.2563  0.2817  0.0189  1 Hf 2.58, 2 Sc 2.62, 3 Na 2.85-2.88
S  0.7393  0.7178  0.4787  3 Sc 2.60, 3 Na 2.86
S  0.7625  0.2816  0.5251  1 Hf 2.58, 2 Sc 2.62, 3 Na 2.85-2.88
S  0.7626  0.2817  0.0189  1 Hf 2.58, 2 Sc 2.62, 3 Na 2.85-2.88

- D(E_F) (states/eV/f.u.) = 4.0
- energy relative to the elements, uncorrected (meV per atom) = -1674.8
- SG = R-3m


This record from Alexandria describes a relaxed structure of Na3Hf3ScS8. The functional is PBE.

Unit cell a=7.3158 b=7.3160 c=8.0345 alpha=117.09 beta=90.00 gamma=120.00
Closest atoms and distances in Å follow each position.
Element x y z (fractional)
Na  0.0000  0.0000  0.0000  6 S 2.85-2.88
Na  0.0000  0.5000  0.0000  6 S 2.85-2.88
Na  0.5000  0.5000  0.0000  6 S 2.85-2.88
Hf  0.5000  0.0000  0.5000  6 S 2.57-2.60
Hf  0.5000  0.5000  0.5000  6 S 2.57-2.59
Hf  0.0000  0.5000  0.5000  6 S 2.57-2.59
Sc  0.0000  0.0000  0.5000  6 S 2.60
S  0.2596  0.5192  0.2797  3 Hf 2.59-2.60, 3 Na 2.85
S  0.7404  0.4808  0.7203  3 Hf 2.59-2.60, 3 Na 2.85
S  0.7591  0.5183  0.2838  2 Hf 2.57, 1 Sc 2.60
S  0.2409  0.4817  0.7162  2 Hf 2.57, 1 Sc 2.60
S  0.7591  0.0241  0.2837  2 Hf 2.57, 1 Sc 2.60, 1 Na 2.87
S  0.2409  0.9759  0.7163  2 Hf 2.57, 1 Sc 2.60, 1 Na 2.87
S  0.2649  0.0241  0.2837  2 Hf 2.57, 1 Sc 2.60, 1 Na 2.87
S  0.7351  0.9759  0.7163  2 Hf 2.57, 1 Sc 2.60, 1 Na 2.87

- D(E_F) (states/eV/f.u.) = 5.1
- energy relative to the elements, uncorrected (meV per atom) = -1579.9
- SG = R-3m


This record from Alexandria describes a relaxed structure of NaHfSeS. The functional is PBE.

Unit cell a=3.7029 b=3.7027 c=7.4643 alpha=90.00 beta=104.36 gamma=120.00
Closest atoms and distances in Å follow each position.
Element x y z (fractional)
Na  0.9589  0.3773  0.3515  3 S 2.85, 3 Se 3.01
Hf  0.3118  0.5539  0.8810  3 S 2.60, 3 Se 2.71
Se  0.4901  0.1431  0.6485  3 Hf 2.71, 3 Na 3.01
S  0.1170  0.9565  0.0887  3 Hf 2.60, 3 Na 2.85

- D(E_F) (states/eV/f.u.) = 1.9
- energy relative to the elements, uncorrected (meV per atom) = -1338.2
- SG = R3m